(a)
# Sr2FeCl (PBEsol, relaxed)
data_Sr2FeCl
_cell_length_a 5.468
_cell_length_b 5.468
_cell_length_c 3.436
_cell_angle_alpha 90.00
_cell_angle_beta 90.00
_cell_angle_gamma 90.00
_symmetry_space_group_name_H-M 'P 4/m m m'
_symmetry_Int_Tables_number 123
_symmetry_space_group_name_Hall '-P 4 2'
loop_
_atom_site_label
_atom_site_type_symbol
_atom_site_fract_x
_atom_site_fract_y
_atom_site_fract_z
_atom_site_occupancy
Sr1 Sr 0.000 0.500 0.000 1
Fe1 Fe 0.000 0.000 0.500 1
Cl1 Cl 0.500 0.500 0.500 1
# Crystal system   tetragonal


(b)
# Sr2FeCl (PBEsol, relaxed)
data_Sr2FeCl
_cell_length_a 6.903
_cell_length_b 4.004
_cell_length_c 8.516
_cell_angle_alpha 90.00
_cell_angle_beta 105.79
_cell_angle_gamma 90.00
_symmetry_space_group_name_H-M 'C 1 2/m 1'
_symmetry_Int_Tables_number 12
_symmetry_space_group_name_Hall '-C 2y'
loop_
_atom_site_label
_atom_site_type_symbol
_atom_site_fract_x
_atom_site_fract_y
_atom_site_fract_z
_atom_site_occupancy
Sr1 Sr 0.246 0.000 0.240 1
Fe1 Fe 0.000 0.500 0.000 1
Cl1 Cl 0.000 0.000 0.500 1
# Crystal system   monoclinic


Stability comparison, relative energies in eV/atom: (a) 0.084; (b) 0.000